A plane-wave DFT calculation with PBE was carried out for a geometry-optimized MgTl2In5 structure.

Unit cell a=5.441 b=6.931 c=6.931 alpha=90.00 beta=90.00 gamma=90.00
Sites, in units of the cell vectors:
Mg1 0.000 0.000 0.000
Tl1 0.500 0.500 0.000
Tl2 0.500 0.000 0.500
In1 0.000 0.713 0.713
In2 0.000 0.287 0.713
In3 0.000 0.713 0.287
In4 0.500 0.000 0.000
In5 0.000 0.287 0.287

Results
Energy relative to the elements, eV/atom: 0.20

***

A plane-wave DFT calculation with PBE was carried out for a geometry-optimized Tb5Hg2Os2 structure.

Unit cell a=7.482 b=7.618 c=8.894 alpha=90.00 beta=65.13 gamma=90.00
Sites, in units of the cell vectors:
Tb1 0.000 0.000 0.000
Tb2 0.500 0.500 0.000
Tb3 0.442 0.180 0.755
Tb4 0.803 0.820 0.755
Tb5 0.303 0.680 0.755
Tb6 0.942 0.320 0.755
Tb7 0.558 0.820 0.245
Tb8 0.197 0.180 0.245
Tb9 0.697 0.320 0.245
Tb10 0.058 0.680 0.245
Hg1 0.219 0.000 0.562
Hg2 0.719 0.500 0.562
Hg3 0.781 0.000 0.438
Hg4 0.281 0.500 0.438
Os1 0.115 0.381 0.000
Os2 0.885 0.619 0.000
Os3 0.385 0.881 0.000
Os4 0.615 0.119 0.000

Results
Energy relative to the elements, eV/atom: -0.35

***

A plane-wave DFT calculation with PBE was carried out for a geometry-optimized OsRuBr4 structure.

Unit cell a=5.989 b=5.989 c=5.989 alpha=60.00 beta=60.00 gamma=60.00
Site moments in Bohr magnetons follow the coordinates.
Sites, in units of the cell vectors:
Os1 0.750 0.750 0.750  3.01
Ru1 0.000 0.000 0.000  2.65
Br1 0.874 0.375 0.375  -0.08
Br2 0.375 0.375 0.874  -0.08
Br3 0.375 0.874 0.375  -0.08
Br4 0.375 0.375 0.375  -0.08

Results
Formation energy (no corrections), eV/atom: 2.10

***

A plane-wave DFT calculation with PBE was carried out for a geometry-optimized CaGaTe2O8 structure.

Unit cell a=4.857 b=4.857 c=6.516 alpha=90.00 beta=90.00 gamma=85.08
Sites, in units of the cell vectors:
Ca1 0.000 0.000 0.500
Ga1 0.000 0.000 0.000
Te1 0.500 0.500 0.758
Te2 0.500 0.500 0.242
O1 0.203 0.797 0.223
O2 0.687 0.687 0.000
O3 0.797 0.203 0.223
O4 0.797 0.203 0.777
O5 0.313 0.313 0.000
O6 0.203 0.797 0.777
O7 0.672 0.672 0.500
O8 0.328 0.328 0.500

Results
Formation energy (no corrections), eV/atom: -1.43

***

A plane-wave DFT calculation with PBE was carried out for a geometry-optimized YScSi structure.

Unit cell a=4.699 b=4.699 c=4.699 alpha=60.00 beta=60.00 gamma=60.00
Sites, in units of the cell vectors:
Sc1 0.500 0.500 0.500
Si1 0.750 0.750 0.750
Y1 0.000 0.000 0.000

Results
Energy relative to the lowest polymorph listed for this composition, eV per atom: 0.161
Formation energy (no corrections), eV/atom: -0.49

***

A plane-wave DFT calculation with PBE was carried out for a geometry-optimized FeBi3Br structure.

Unit cell a=5.641 b=5.641 c=5.641 alpha=90.00 beta=90.00 gamma=90.00
Site moments in Bohr magnetons follow the coordinates.
Sites, in units of the cell vectors:
Bi1 0.000 0.500 0.000  0.01
Bi2 0.000 0.000 0.500  -0.04
Bi3 0.500 0.000 0.000  0.04
Br1 0.000 0.000 0.000  -0.01
Fe1 0.500 0.500 0.500  3.35

Results
Energy relative to the lowest polymorph listed for this composition, eV per atom: 0.993
Formation energy (no corrections), eV/atom: 1.32

***

Number 1: energy -2.31 eV/atom. Number 2: energy -5.49 eV/atom. Number 3: energy -2.43 eV/atom. Number 4: energy -5.68 eV/atom. Number 5: energy -6.56 eV/atom. Number 6: energy -3.03 eV/atom.